Nb2PtO PBE-GGA optimized geometry; density of states at the Fermi level = 1.7 states/eV/f.u.; calculated total energy = -8.368 eV per atom; spin magnetization = 0.000 μB per formula unit; symmetry = No. 166; crystal system = trigonal
1.0
2.8713 0.0000 0.0000
1.4356 2.4866 0.0000
1.4356 0.8289 8.3723
Nb O Pt
2 1 1
Direct
0.1034 0.1034 0.6897
0.8966 0.8966 0.3103
0.5000 0.5000 0.5000
0.0000 0.0000 0.0000

---

NbPtO2 PBE-GGA optimized geometry; density of states at the Fermi level = 1.7 states/eV/f.u.; distance to the lowest polymorph of the same formula = 0 meV per atom; calculated total energy = -7.910 eV per atom; spin magnetization = 0.000 μB per formula unit; symmetry = No. 166; crystal system = trigonal
1.0
2.6072 -5.9501 2.5772
3.6175 -5.9787 -0.1124
4.9957 -4.4927 1.9242
Nb O Pt
1 2 1
Direct
0.5000 0.5000 0.5000
0.9001 0.9001 0.9001
0.0999 0.0999 0.0999
0.0000 0.0000 0.0000

---

NbPtO2 PBE-GGA optimized geometry; density of states at the Fermi level = 3.4 states/eV/f.u.; distance to the lowest polymorph of the same formula = 1052 meV per atom; calculated total energy = -6.858 eV per atom; spin magnetization = 0.000 μB per formula unit; symmetry = No. 225; crystal system = cubic
1.0
-3.4286 -2.1003 0.1336
-3.4081 1.6219 -1.3924
-1.6443 -1.3850 -3.4004
Nb O Pt
1 2 1
Direct
0.0000 0.0000 0.0000
0.2500 0.2500 0.2500
0.7500 0.7500 0.7500
0.5000 0.5000 0.5000

---

Number 1: raw formation energy -583.7 meV per atom. Number 2: raw formation energy -1403.1 meV per atom. Number 3: raw formation energy -350.9 meV per atom.